Ti2VGaC | GGA-PBE | optimized geometry

Values from the calculation:
- SG = P4/mmm, No. 123
- formation enthalpy at 0 K (eV/atom) = -0.512

Cell lengths 4.1980, 4.1980, 3.9213 Å; angles 90.00, 90.00, 90.00 degrees
Sites, in units of the cell vectors:
Ti 0.0000 0.5000 0.0000
Ti 0.5000 0.0000 0.0000
V 0.0000 0.0000 0.5000
Ga 0.5000 0.5000 0.5000
C 0.0000 0.0000 0.0000

---

Ti3VGa2C | GGA-PBE | optimized geometry

Values from the calculation:
- SG = Immm, No. 71
- formation enthalpy at 0 K (eV/atom) = -0.435

Cell lengths 3.8973, 4.0504, 13.6690 Å; angles 90.00, 90.00, 90.00 degrees
Sites, in units of the cell vectors:
Ti 0.0000 0.0000 0.0000
Ti 0.0000 0.5000 0.1575
Ti 0.0000 0.5000 0.8425
Ti 0.5000 0.0000 0.3425
Ti 0.5000 0.0000 0.6575
Ti 0.5000 0.5000 0.5000
V 0.0000 0.0000 0.5000
V 0.5000 0.5000 0.0000
Ga 0.0000 0.5000 0.3584
Ga 0.0000 0.5000 0.6416
Ga 0.5000 0.0000 0.1416
Ga 0.5000 0.0000 0.8584
C 0.0000 0.5000 0.0000
C 0.5000 0.0000 0.5000

---

Zr3TiGa2C | GGA-PBE | optimized geometry

Values from the calculation:
- SG = Immm, No. 71
- formation enthalpy at 0 K (eV/atom) = -0.512

Cell lengths 4.1256, 4.3607, 14.5044 Å; angles 90.00, 90.00, 90.00 degrees
Sites, in units of the cell vectors:
Zr 0.0000 0.0000 0.0000
Zr 0.0000 0.5000 0.1632
Zr 0.0000 0.5000 0.8368
Zr 0.5000 0.0000 0.3368
Zr 0.5000 0.0000 0.6632
Zr 0.5000 0.5000 0.5000
Ti 0.0000 0.0000 0.5000
Ti 0.5000 0.5000 0.0000
Ga 0.0000 0.5000 0.3619
Ga 0.0000 0.5000 0.6381
Ga 0.5000 0.0000 0.1381
Ga 0.5000 0.0000 0.8619
C 0.0000 0.5000 0.0000
C 0.5000 0.0000 0.5000

---

ZrTi2GaC | GGA-PBE | optimized geometry

Values from the calculation:
- SG = P4/mmm, No. 123
- formation enthalpy at 0 K (eV/atom) = -0.583

Cell lengths 4.1837, 4.1837, 4.5180 Å; angles 90.00, 90.00, 90.00 degrees
Sites, in units of the cell vectors:
Zr 0.0000 0.0000 0.0000
Ti 0.0000 0.5000 0.5000
Ti 0.5000 0.0000 0.5000
Ga 0.5000 0.5000 0.0000
C 0.0000 0.0000 0.5000

---

Zr2TiGaC | GGA-PBE | optimized geometry

Values from the calculation:
- SG = P4/mmm, No. 123
- formation enthalpy at 0 K (eV/atom) = -0.564

Cell lengths 4.5407, 4.5407, 4.1553 Å; angles 90.00, 90.00, 90.00 degrees
Sites, in units of the cell vectors:
Zr 0.0000 0.5000 0.0000
Zr 0.5000 0.0000 0.0000
Ti 0.0000 0.0000 0.5000
Ga 0.5000 0.5000 0.5000
C 0.0000 0.0000 0.0000

---

TlGaC2 | GGA-PBE | optimized geometry

Values from the calculation:
- SG = I-42d, No. 122
- formation enthalpy at 0 K (eV/atom) = 1.468

Cell lengths 5.0231, 5.0231, 9.9260 Å; angles 90.00, 90.00, 90.00 degrees
Sites, in units of the cell vectors:
Tl 0.0000 0.0000 0.0000
Tl 0.0000 0.5000 0.2500
Tl 0.5000 0.0000 0.7500
Tl 0.5000 0.5000 0.5000
Ga 0.0000 0.0000 0.5000
Ga 0.0000 0.5000 0.7500
Ga 0.5000 0.0000 0.2500
Ga 0.5000 0.5000 0.0000
C 0.2006 0.2500 0.6250
C 0.2500 0.7006 0.8750
C 0.2500 0.7994 0.3750
C 0.2994 0.2500 0.1250
C 0.7006 0.7500 0.1250
C 0.7500 0.2006 0.3750
C 0.7500 0.2994 0.8750
C 0.7994 0.7500 0.6250

---

TlGaC2 | GGA-PBE | optimized geometry

Values from the calculation:
- SG = Fm-3m, No. 225
- formation enthalpy at 0 K (eV/atom) = 2.371

Cell lengths 6.0827, 6.0827, 6.0827 Å; angles 90.00, 90.00, 90.00 degrees
Sites, in units of the cell vectors:
Tl 0.0000 0.0000 0.0000
Tl 0.0000 0.5000 0.5000
Tl 0.5000 0.0000 0.5000
Tl 0.5000 0.5000 0.0000
Ga 0.0000 0.0000 0.5000
Ga 0.0000 0.5000 0.0000
Ga 0.5000 0.0000 0.0000
Ga 0.5000 0.5000 0.5000
C 0.2500 0.2500 0.2500
C 0.2500 0.2500 0.7500
C 0.2500 0.7500 0.2500
C 0.2500 0.7500 0.7500
C 0.7500 0.2500 0.2500
C 0.7500 0.2500 0.7500
C 0.7500 0.7500 0.2500
C 0.7500 0.7500 0.7500

---

TlGa3C | GGA-PBE | optimized geometry

Values from the calculation:
- SG = Pm-3m, No. 221
- formation enthalpy at 0 K (eV/atom) = 1.857

Cell lengths 5.4460, 5.4460, 5.4460 Å; angles 90.00, 90.00, 90.00 degrees
Sites, in units of the cell vectors:
Tl 0.0000 0.0000 0.0000
Ga 0.0000 0.0000 0.5000
Ga 0.0000 0.5000 0.0000
Ga 0.5000 0.0000 0.0000
C 0.5000 0.5000 0.5000

---

The lowest formation enthalpy at 0 K belongs to which entry?
ZrTi2GaC

---

Look up the formation enthalpy at 0 K of the eighth one.
1.857 eV/atom